Entry P
BaCaOs2: relaxed, PBE.

Cell lengths 8.3919, 8.3919, 5.4309 Å; angles 90.00, 90.00, 90.00 degrees
With the nearest neighbours (Å) after each atom.
Space group I-42d (No. 122)
Inequivalent atoms, fractional coordinates:
Ba 0.0000 0.0000 0.0000 x4  2 Ca 2.72
Ca 0.0000 0.0000 0.5000 x4  2 Ba 2.72, 4 Os 2.96
Os 0.2351 0.2500 0.6250 x8  2 Os 2.73, 2 Ca 2.96

---

Entry Q
BaCaOs2: relaxed, PBE.

Cell lengths 3.9323, 3.9323, 6.8368 Å; angles 90.00, 90.00, 90.00 degrees
With the nearest neighbours (Å) after each atom.
Space group P4/mmm (No. 123)
Inequivalent atoms, fractional coordinates:
Ba 0.0000 0.0000 0.0000 x1  2 Ca 3.42, 8 Os 3.59
Ca 0.0000 0.0000 0.5000 x1  8 Os 3.01
Os 0.5000 0.5000 0.3316 x2  1 Os 2.30

---

Entry R
BaCaOs2: relaxed, PBE.

Cell lengths 7.1405, 7.1405, 7.1405 Å; angles 90.00, 90.00, 90.00 degrees
With the nearest neighbours (Å) after each atom.
Space group Fm-3m (No. 225)
Inequivalent atoms, fractional coordinates:
Ba 0.0000 0.0000 0.0000 x4  8 Os 3.09
Ca 0.0000 0.0000 0.5000 x4  8 Os 3.09
Os 0.2500 0.2500 0.2500 x8  4 Ba 3.09, 4 Ca 3.09

---

Entry S
BaCaOs2: relaxed, PBE.

Cell lengths 3.3528, 4.9344, 5.0468 Å; angles 90.00, 90.00, 90.00 degrees
With the nearest neighbours (Å) after each atom.
Space group Pmmm (No. 47)
Inequivalent atoms, fractional coordinates:
Ba 0.0000 0.0000 0.0000 x1  4 Ca 2.98, 4 Os 3.03
Ca 0.5000 0.5000 0.0000 x1  4 Ba 2.98, 4 Os 3.03
Os 0.0000 0.5000 0.5000 x1  4 Os 2.98, 4 Ca 3.03
Os 0.5000 0.0000 0.5000 x1  4 Os 2.98, 4 Ba 3.03

---

In meV per atom, relative to the most stable structure: entry P 391; entry Q 0; entry R 374; entry S 264.

---

Entry P
BaCaOs2: relaxed, PBE.

Cell lengths 3.3397, 4.9881, 9.9991 Å; angles 90.00, 90.00, 90.00 degrees
With the nearest neighbours (Å) after each atom.
Space group Immm (No. 71)
Inequivalent atoms, fractional coordinates:
Ba 0.0000 0.0000 0.0000 x2  4 Ca 3.00, 4 Os 3.04, 2 Ba 3.34
Ca 0.0000 0.0000 0.5000 x2  4 Os 2.98, 4 Ba 3.00
Os 0.0000 0.5000 0.2464 x4  2 Ca 2.98, 4 Os 3.00, 2 Ba 3.04

---

Entry Q
BaCaOs2: relaxed, PBE.

Cell lengths 4.1269, 4.9805, 11.4127 Å; angles 90.00, 90.00, 90.00 degrees
With the nearest neighbours (Å) after each atom.
Space group Imm2 (No. 44)
Inequivalent atoms, fractional coordinates:
Ba 0.0000 0.0000 0.0000 x2  8 Os 3.53-3.79, 4 Ca 3.66
Ca 0.0000 0.5000 0.7648 x2  6 Os 2.97-3.27
Os 0.0000 0.0000 0.6230 x2  2 Os 2.35
Os 0.0000 0.5000 0.2215 x2  2 Os 2.35

---

In meV per atom, relative to the most stable structure: entry P 731; entry Q 0.

---

Entry P
BaCaOs2: relaxed, PBE.

Cell lengths 3.0598, 3.0598, 9.4900 Å; angles 90.00, 90.00, 90.00 degrees
With the nearest neighbours (Å) after each atom.
Space group P4/mmm (No. 123)
Inequivalent atoms, fractional coordinates:
Ba 0.0000 0.0000 0.0000 x1  4 Ba 3.06, 8 Os 3.35
Ca 0.0000 0.0000 0.5000 x1  4 Ca 3.06, 8 Os 3.08
Os 0.5000 0.5000 0.2691 x2  4 Os 3.06, 4 Ca 3.08, 4 Ba 3.35

---

Entry Q
BaCaOs2: relaxed, PBE.

Cell lengths 3.0565, 4.7433, 6.8556 Å; angles 90.00, 90.92, 90.00 degrees
With the nearest neighbours (Å) after each atom.
Space group P2/m (No. 10)
Inequivalent atoms, fractional coordinates:
Ba 0.0000 0.0000 0.0000 x1  2 Ba 3.06
Ca 0.0000 0.0000 0.5000 x1  8 Os 3.05, 2 Ca 3.06
Os 0.4953 0.5000 0.3313 x2  1 Os 2.31

---

In meV per atom, relative to the most stable structure: entry P 358; entry Q 0.

---

Entry P
Ba2CaP2: relaxed, PBE.

Cell lengths 8.8743, 8.8743, 3.9267 Å; angles 90.00, 90.00, 90.00 degrees
With the nearest neighbours (Å) after each atom.
Space group P4/mbm (No. 127)
Inequivalent atoms, fractional coordinates:
Ba 0.1286 0.3714 0.0000 x4  6 P 3.16-3.35, 1 Ba 3.23, 2 Ca 3.49
Ca 0.0000 0.0000 0.0000 x2  4 Ba 3.49, 8 P 3.82
P 0.1745 0.6745 0.5000 x4  6 Ba 3.16-3.35

---

Entry Q
Ba2CaP2: relaxed, PBE.

Cell lengths 5.8090, 5.8090, 10.6679 Å; angles 90.00, 90.00, 90.00 degrees
With the nearest neighbours (Å) after each atom.
Space group I4/mmm (No. 139)
Inequivalent atoms, fractional coordinates:
Ba 0.0000 0.0000 0.1604 x4  4 P 3.06, 1 Ba 3.42
Ca 0.0000 0.0000 0.5000 x2  2 Ba 3.62, 8 P 3.94
P 0.0000 0.5000 0.2500 x4  4 Ba 3.06

---

In meV per atom, relative to the most stable structure: entry P 0; entry Q 153.

---

Entry P
BaCaP3: relaxed, PBE.

Cell lengths 5.2544, 5.2544, 5.2544 Å; angles 90.00, 90.00, 90.00 degrees
With the nearest neighbours (Å) after each atom.
Space group Pm-3m (No. 221)
Inequivalent atoms, fractional coordinates:
Ba 0.0000 0.0000 0.0000 x1  12 P 3.72
Ca 0.5000 0.5000 0.5000 x1  6 P 2.63
P 0.0000 0.5000 0.5000 x3  2 Ca 2.63

---

Entry Q
BaCaP3: relaxed, PBE.

Cell lengths 5.5474, 5.5474, 5.5474 Å; angles 90.00, 90.00, 90.00 degrees
With the nearest neighbours (Å) after each atom.
Space group Pm-3m (No. 221)
Inequivalent atoms, fractional coordinates:
Ba 0.0000 0.0000 0.0000 x1  6 P 2.77
Ca 0.5000 0.5000 0.5000 x1  12 P 3.92
P 0.0000 0.0000 0.5000 x3  2 Ba 2.77

---

In meV per atom, relative to the most stable structure: entry P 0; entry Q 692.

---

Entry P
BaCa2P2: relaxed, PBE.

Cell lengths 4.7714, 4.7714, 7.8945 Å; angles 90.00, 90.00, 120.00 degrees
With the nearest neighbours (Å) after each atom.
Space group P-3m1 (No. 164)
Inequivalent atoms, fractional coordinates:
Ba 0.0000 0.0000 0.0000 x1  6 P 3.43
Ca 0.3333 0.6667 0.6373 x2  4 P 2.87-2.99
P 0.3333 0.6667 0.2590 x2  4 Ca 2.87-2.99

---

Entry Q
BaCa2P2: relaxed, PBE.

Cell lengths 8.4804, 8.4804, 3.8203 Å; angles 90.00, 90.00, 90.00 degrees
With the nearest neighbours (Å) after each atom.
Space group P4/mbm (No. 127)
Inequivalent atoms, fractional coordinates:
Ba 0.0000 0.0000 0.0000 x2  4 P 3.18
Ca 0.1356 0.3644 0.5000 x4  6 P 3.09-3.17, 1 Ca 3.25
P 0.1619 0.6619 0.0000 x4  6 Ca 3.09-3.17, 2 Ba 3.18

---

In meV per atom, relative to the most stable structure: entry P 0; entry Q 306.

---

Entry P
BaSrCa2P: relaxed, PBE.

Cell lengths 5.7540, 5.7540, 6.4187 Å; angles 90.00, 90.00, 90.00 degrees
With the nearest neighbours (Å) after each atom.
Space group P4/mmm (No. 123)
Inequivalent atoms, fractional coordinates:
Ba 0.0000 0.0000 0.0000 x1  2 P 3.21
Sr 0.5000 0.5000 0.0000 x1  4 Ba 4.07, 8 Ca 4.31
Ca 0.0000 0.5000 0.5000 x2  2 P 2.88
P 0.0000 0.0000 0.5000 x1  4 Ca 2.88, 2 Ba 3.21

---

Entry Q
BaSrCa2P: relaxed, PBE.

Cell lengths 5.8069, 5.8069, 6.0928 Å; angles 90.00, 90.00, 90.00 degrees
With the nearest neighbours (Å) after each atom.
Space group P4/mmm (No. 123)
Inequivalent atoms, fractional coordinates:
Ba 0.0000 0.0000 0.0000 x1  4 Sr 4.11, 8 Ca 4.21
Sr 0.5000 0.5000 0.0000 x1  2 P 3.05
Ca 0.0000 0.5000 0.5000 x2  2 P 2.90
P 0.5000 0.5000 0.5000 x1  4 Ca 2.90, 2 Sr 3.05

---

In meV per atom, relative to the most stable structure: entry P 0; entry Q 6.

---

Entry P
BaCa3Pb: relaxed, PBE.

Cell lengths 6.0303, 6.0303, 6.0303 Å; angles 90.00, 90.00, 90.00 degrees
With the nearest neighbours (Å) after each atom.
Space group Pm-3m (No. 221)
Inequivalent atoms, fractional coordinates:
Ba 0.0000 0.0000 0.0000 x1  6 Ca 3.02
Ca 0.0000 0.0000 0.5000 x3  2 Ba 3.02
Pb 0.5000 0.5000 0.5000 x1  12 Ca 4.26

---

Entry Q
BaCa3Pb: relaxed, PBE.

Cell lengths 6.1800, 6.1800, 6.1800 Å; angles 90.00, 90.00, 90.00 degrees
With the nearest neighbours (Å) after each atom.
Space group Pm-3m (No. 221)
Inequivalent atoms, fractional coordinates:
Ba 0.0000 0.0000 0.0000 x1  12 Ca 4.37
Ca 0.0000 0.5000 0.5000 x3  2 Pb 3.09
Pb 0.5000 0.5000 0.5000 x1  6 Ca 3.09

---

In meV per atom, relative to the most stable structure: entry P 993; entry Q 0.

---

Entry P
BaCa2Pb3: relaxed, PBE.

Cell lengths 12.6965, 9.2543, 7.4039 Å; angles 90.00, 90.00, 90.00 degrees
With the nearest neighbours (Å) after each atom.
Space group Cmcm (No. 63)
Inequivalent atoms, fractional coordinates:
Ba 0.0000 0.1560 0.2500 x4  3 Pb 3.40-3.71
Ca 0.2140 0.5000 0.0000 x8  6 Pb 3.24-3.49
Pb 0.0000 0.4764 0.7500 x4  2 Pb 3.09, 4 Ca 3.29, 1 Ba 3.40
Pb 0.1350 0.1990 0.7500 x8  2 Pb 3.09-3.43, 2 Ca 3.24

---

Entry Q
BaCa2Pb3: relaxed, PBE.

Cell lengths 4.0362, 4.0362, 12.3925 Å; angles 90.00, 90.00, 90.00 degrees
With the nearest neighbours (Å) after each atom.
Space group P4/mmm (No. 123)
Inequivalent atoms, fractional coordinates:
Ba 0.0000 0.0000 0.0000 x1  8 Pb 3.75, 4 Ba 4.04
Ca 0.0000 0.0000 0.3464 x2  8 Pb 3.40-3.43, 1 Ca 3.81
Pb 0.5000 0.5000 0.1969 x2  4 Ca 3.40, 4 Ba 3.75, 1 Pb 3.76
Pb 0.5000 0.5000 0.5000 x1  8 Ca 3.43, 2 Pb 3.76

---

In meV per atom, relative to the most stable structure: entry P 97; entry Q 0.

---

Entry P
BaCaPb4: relaxed, PBE.

Cell lengths 5.0816, 24.0599, 6.8667 Å; angles 90.00, 90.00, 90.00 degrees
With the nearest neighbours (Å) after each atom.
Space group Cmcm (No. 63)
Inequivalent atoms, fractional coordinates:
Ba 0.0000 0.2229 0.2500 x4  7 Pb 3.62-3.68
Ca 0.0000 0.0714 0.7500 x4  11 Pb 3.43-3.51
Pb 0.0000 0.0726 0.2500 x4  3 Ca 3.43-3.47, 8 Pb 3.51-3.53, 1 Ba 3.62
Pb 0.0000 0.3592 0.0089 x8  5 Pb 3.31-3.56, 2 Ca 3.46, 3 Ba 3.67-3.68
Pb 0.0000 0.5000 0.0000 x4  8 Pb 3.39-3.53, 4 Ca 3.51

---

Entry Q
BaCaPb4: relaxed, PBE.

Cell lengths 9.4350, 9.4350, 9.4350 Å; angles 90.00, 90.00, 90.00 degrees
With the nearest neighbours (Å) after each atom.
Space group F-43m (No. 216)
Inequivalent atoms, fractional coordinates:
Ba 0.0000 0.0000 0.0000 x4  12 Pb 3.91, 4 Ca 4.09
Ca 0.2500 0.2500 0.2500 x4  12 Pb 3.92, 4 Ba 4.09
Pb 0.1273 0.1273 0.6273 x16  6 Pb 3.27-3.40

---

In meV per atom, relative to the most stable structure: entry P 0; entry Q 14.

---

Entry P
Ba2Ca2Pb: relaxed, PBE.

Cell lengths 4.8099, 4.8099, 19.8838 Å; angles 90.00, 90.00, 90.00 degrees
With the nearest neighbours (Å) after each atom.
Space group I4/mmm (No. 139)
Inequivalent atoms, fractional coordinates:
Ba 0.0000 0.5000 0.2500 x4  4 Ba 3.40
Ca 0.0000 0.0000 0.0835 x4  1 Ca 3.32
Pb 0.0000 0.0000 0.5000 x2  8 Ca 3.78

---

Entry Q
Ba2Ca2Pb: relaxed, PBE.

Cell lengths 8.5374, 8.5374, 6.2492 Å; angles 90.00, 90.00, 90.00 degrees
With the nearest neighbours (Å) after each atom.
Space group P4/mbm (No. 127)
Inequivalent atoms, fractional coordinates:
Ba 0.1730 0.3270 0.0000 x4  6 Ca 3.78-4.18, 1 Ba 4.18
Ca 0.1509 0.6509 0.5000 x4  2 Pb 3.25
Pb 0.0000 0.0000 0.5000 x2  4 Ca 3.25

---

In meV per atom, relative to the most stable structure: entry P 417; entry Q 0.

---

Entry P
Ba2CaPb2: relaxed, PBE.

Cell lengths 5.2651, 5.2651, 15.4088 Å; angles 90.00, 90.00, 90.00 degrees
With the nearest neighbours (Å) after each atom.
Space group I4/mmm (No. 139)
Inequivalent atoms, fractional coordinates:
Ba 0.0000 0.5000 0.2500 x4  4 Pb 3.56, 4 Ba 3.72
Ca 0.0000 0.0000 0.0000 x2  8 Pb 4.00
Pb 0.0000 0.0000 0.4052 x4  1 Pb 2.92

---

Entry Q
Ba2CaPb2: relaxed, PBE.

Cell lengths 8.8105, 8.8105, 5.3071 Å; angles 90.00, 90.00, 90.00 degrees
With the nearest neighbours (Å) after each atom.
Space group P4/mbm (No. 127)
Inequivalent atoms, fractional coordinates:
Ba 0.1652 0.3348 0.0000 x4  6 Pb 3.68-3.73, 1 Ba 4.12
Ca 0.0000 0.0000 0.5000 x2  4 Pb 3.45
Pb 0.1303 0.6303 0.5000 x4  1 Pb 3.25, 2 Ca 3.45

---

Entry R
Ba2CaPb2: relaxed, PBE.

Cell lengths 10.3062, 10.3062, 3.8345 Å; angles 90.00, 90.00, 90.00 degrees
With the nearest neighbours (Å) after each atom.
Space group P4/mbm (No. 127)
Inequivalent atoms, fractional coordinates:
Ba 0.1253 0.3747 0.0000 x4  6 Pb 3.48-3.68, 3 Ba 3.65-3.83
Ca 0.0000 0.0000 0.0000 x2  2 Ca 3.83, 4 Ba 4.07, 8 Pb 4.26
Pb 0.1752 0.6752 0.5000 x4  6 Ba 3.48-3.68, 2 Pb 3.83

---

In meV per atom, relative to the most stable structure: entry P 326; entry Q 0; entry R 196.